# 1
! Ho4TmBi5 (GGA-PBE, relaxed); values from VASP
! Calculated total energy (eV/atom): -5.1447
! Space-group type: I4/mmm (139)
&SYSTEM
  ibrav = 0, nat = 10, ntyp = 3
/
ATOMIC_SPECIES
Ho 164.93 Ho.upf
Tm 168.93 Tm.upf
Bi 208.98 Bi.upf
CELL_PARAMETERS angstrom
-2.2208 2.2208 15.7022
2.2208 -2.2208 15.7022
2.2208 2.2208 -15.7022
ATOMIC_POSITIONS crystal
Ho 0.1000 0.1000 0.0000
Ho 0.3002 0.3002 0.0000
Ho 0.6998 0.6998 0.0000
Ho 0.9000 0.9000 0.0000
Tm 0.5000 0.5000 0.0000
Bi 0.0000 0.0000 0.0000
Bi 0.2001 0.2001 0.0000
Bi 0.4004 0.4004 0.0000
Bi 0.5996 0.5996 0.0000
Bi 0.7999 0.7999 0.0000

# 2
! HoTmBi (GGA-PBE, relaxed); values from VASP
! Calculated total energy (eV/atom): -4.5802
! Space-group type: F-43m (216)
&SYSTEM
  ibrav = 0, nat = 12, ntyp = 3
/
ATOMIC_SPECIES
Ho 164.93 Ho.upf
Tm 168.93 Tm.upf
Bi 208.98 Bi.upf
CELL_PARAMETERS angstrom
7.2402 0.0000 0.0000
0.0000 7.2402 0.0000
0.0000 0.0000 7.2402
ATOMIC_POSITIONS crystal
Ho 0.0000 0.0000 0.0000
Ho 0.0000 0.5000 0.5000
Ho 0.5000 0.0000 0.5000
Ho 0.5000 0.5000 0.0000
Tm 0.0000 0.0000 0.5000
Tm 0.0000 0.5000 0.0000
Tm 0.5000 0.0000 0.0000
Tm 0.5000 0.5000 0.5000
Bi 0.2500 0.2500 0.2500
Bi 0.2500 0.7500 0.7500
Bi 0.7500 0.2500 0.7500
Bi 0.7500 0.7500 0.2500

# 3
! HoTmZr2Bi2 (GGA-PBE, relaxed); values from VASP
! Calculated total energy (eV/atom): -6.2309
! Space-group type: I4mm (107)
&SYSTEM
  ibrav = 0, nat = 12, ntyp = 4
/
ATOMIC_SPECIES
Ho 164.93 Ho.upf
Tm 168.93 Tm.upf
Zr 91.22 Zr.upf
Bi 208.98 Bi.upf
CELL_PARAMETERS angstrom
4.3140 0.0000 0.0000
0.0000 4.3140 0.0000
0.0000 0.0000 16.7365
ATOMIC_POSITIONS crystal
Ho 0.0000 0.0000 0.0000
Ho 0.5000 0.5000 0.5000
Tm 0.0000 0.0000 0.3498
Tm 0.5000 0.5000 0.8498
Zr 0.0000 0.5000 0.1755
Zr 0.0000 0.5000 0.6755
Zr 0.5000 0.0000 0.1755
Zr 0.5000 0.0000 0.6755
Bi 0.0000 0.0000 0.5389
Bi 0.0000 0.0000 0.8117
Bi 0.5000 0.5000 0.0389
Bi 0.5000 0.5000 0.3117

# 4
! HoUBi (GGA-PBE, relaxed); values from VASP
! Calculated total energy (eV/atom): -6.2411
! Space-group type: F-43m (216)
&SYSTEM
  ibrav = 0, nat = 12, ntyp = 3
/
ATOMIC_SPECIES
Ho 164.93 Ho.upf
U 238.03 U.upf
Bi 208.98 Bi.upf
CELL_PARAMETERS angstrom
7.3781 0.0000 0.0000
0.0000 7.3781 0.0000
0.0000 0.0000 7.3781
ATOMIC_POSITIONS crystal
Ho 0.0000 0.0000 0.0000
Ho 0.0000 0.5000 0.5000
Ho 0.5000 0.0000 0.5000
Ho 0.5000 0.5000 0.0000
U 0.0000 0.0000 0.5000
U 0.0000 0.5000 0.0000
U 0.5000 0.0000 0.0000
U 0.5000 0.5000 0.5000
Bi 0.2500 0.2500 0.2500
Bi 0.2500 0.7500 0.7500
Bi 0.7500 0.2500 0.7500
Bi 0.7500 0.7500 0.2500

# 5
! YHo5Bi6 (GGA-PBE, relaxed); values from VASP
! Calculated total energy (eV/atom): -5.3326
! Space-group type: C2/m (12)
&SYSTEM
  ibrav = 0, nat = 12, ntyp = 3
/
ATOMIC_SPECIES
Y 88.91 Y.upf
Ho 164.93 Ho.upf
Bi 208.98 Bi.upf
CELL_PARAMETERS angstrom
3.8558 -6.6779 0.0000
3.8558 6.6779 0.0000
-2.5701 0.0000 7.2691
ATOMIC_POSITIONS crystal
Y 0.0000 0.0000 0.0000
Ho 0.1662 0.8338 0.5000
Ho 0.3332 0.6668 0.0000
Ho 0.5000 0.5000 0.5000
Ho 0.6668 0.3332 0.0000
Ho 0.8338 0.1662 0.5000
Bi 0.0836 0.4179 0.2507
Bi 0.2509 0.2509 0.7495
Bi 0.4179 0.0836 0.2507
Bi 0.5821 0.9164 0.7493
Bi 0.7491 0.7491 0.2505
Bi 0.9164 0.5821 0.7493

# 6
! Y4HoBi5 (GGA-PBE, relaxed); values from VASP
! Calculated total energy (eV/atom): -5.9670
! Space-group type: I4/mmm (139)
&SYSTEM
  ibrav = 0, nat = 10, ntyp = 3
/
ATOMIC_SPECIES
Y 88.91 Y.upf
Ho 164.93 Ho.upf
Bi 208.98 Bi.upf
CELL_PARAMETERS angstrom
-2.2319 2.2319 15.7822
2.2319 -2.2319 15.7822
2.2319 2.2319 -15.7822
ATOMIC_POSITIONS crystal
Y 0.1000 0.1000 0.0000
Y 0.3002 0.3002 0.0000
Y 0.6998 0.6998 0.0000
Y 0.9000 0.9000 0.0000
Ho 0.5000 0.5000 0.0000
Bi 0.0000 0.0000 0.0000
Bi 0.2000 0.2000 0.0000
Bi 0.4004 0.4004 0.0000
Bi 0.5996 0.5996 0.0000
Bi 0.8000 0.8000 0.0000

# 7
! YHo2Bi3 (GGA-PBE, relaxed); values from VASP
! Calculated total energy (eV/atom): -5.4995
! Space-group type: P-3m1 (164)
&SYSTEM
  ibrav = 0, nat = 6, ntyp = 3
/
ATOMIC_SPECIES
Y 88.91 Y.upf
Ho 164.93 Ho.upf
Bi 208.98 Bi.upf
CELL_PARAMETERS angstrom
4.4464 0.0000 0.0000
-2.2232 3.8507 0.0000
0.0000 0.0000 10.9652
ATOMIC_POSITIONS crystal
Y 0.0000 0.0000 0.0000
Ho 0.3333 0.6667 0.3333
Ho 0.6667 0.3333 0.6667
Bi 0.0000 0.0000 0.5000
Bi 0.3333 0.6667 0.8331
Bi 0.6667 0.3333 0.1669

# 8
! YHoZr2Bi2 (GGA-PBE, relaxed); values from VASP
! Calculated total energy (eV/atom): -6.5980
! Space-group type: I4mm (107)
&SYSTEM
  ibrav = 0, nat = 12, ntyp = 4
/
ATOMIC_SPECIES
Y 88.91 Y.upf
Ho 164.93 Ho.upf
Zr 91.22 Zr.upf
Bi 208.98 Bi.upf
CELL_PARAMETERS angstrom
4.3243 0.0000 0.0000
0.0000 4.3243 0.0000
0.0000 0.0000 16.8752
ATOMIC_POSITIONS crystal
Y 0.0000 0.0000 0.0000
Y 0.5000 0.5000 0.5000
Ho 0.0000 0.0000 0.3519
Ho 0.5000 0.5000 0.8519
Zr 0.0000 0.5000 0.1765
Zr 0.0000 0.5000 0.6765
Zr 0.5000 0.0000 0.1765
Zr 0.5000 0.0000 0.6765
Bi 0.0000 0.0000 0.5413
Bi 0.0000 0.0000 0.8115
Bi 0.5000 0.5000 0.0413
Bi 0.5000 0.5000 0.3115

# 9
! Ho5Zn2Bi (GGA-PBE, relaxed); values from VASP
! Calculated total energy (eV/atom): -4.0958
! Space-group type: I4/mcm (140)
&SYSTEM
  ibrav = 0, nat = 16, ntyp = 3
/
ATOMIC_SPECIES
Ho 164.93 Ho.upf
Zn 65.41 Zn.upf
Bi 208.98 Bi.upf
CELL_PARAMETERS angstrom
-4.0672 4.0672 6.3700
4.0672 -4.0672 6.3700
4.0672 4.0672 -6.3700
ATOMIC_POSITIONS crystal
Ho 0.0000 0.0000 0.0000
Ho 0.0096 0.5096 0.8034
Ho 0.2063 0.0096 0.5000
Ho 0.2937 0.7937 0.8034
Ho 0.4904 0.2937 0.5000
Ho 0.5000 0.5000 0.0000
Ho 0.5096 0.7063 0.5000
Ho 0.7063 0.2063 0.1966
Ho 0.7937 0.9904 0.5000
Ho 0.9904 0.4904 0.1966
Zn 0.1412 0.3588 0.5000
Zn 0.3588 0.8588 0.2177
Zn 0.6412 0.1412 0.7823
Zn 0.8588 0.6412 0.5000
Bi 0.2500 0.2500 0.0000
Bi 0.7500 0.7500 0.0000

# 10
! LaPrBiI2 (GGA-PBE, relaxed); values from VASP
! Calculated total energy (eV/atom): -4.6397
! Space-group type: P3m1 (156)
&SYSTEM
  ibrav = 0, nat = 5, ntyp = 4
/
ATOMIC_SPECIES
La 138.91 La.upf
Pr 140.91 Pr.upf
Bi 208.98 Bi.upf
I 126.90 I.upf
CELL_PARAMETERS angstrom
4.5783 0.0000 0.0000
-2.2892 3.9650 0.0000
0.0000 0.0000 11.7260
ATOMIC_POSITIONS crystal
La 0.0000 0.0000 0.0000
Pr 0.3333 0.6667 0.3128
Bi 0.6667 0.3333 0.1580
I 0.0000 0.0000 0.4803
I 0.3333 0.6667 0.8302

# 11
! Ni4Bi12I3 (GGA-PBE, relaxed); values from VASP
! Calculated total energy (eV/atom): -4.1036
! Space-group type: Cmcm (63)
&SYSTEM
  ibrav = 0, nat = 38, ntyp = 3
/
ATOMIC_SPECIES
Ni 58.69 Ni.upf
Bi 208.98 Bi.upf
I 126.90 I.upf
CELL_PARAMETERS angstrom
2.0555 -8.0440 0.0000
2.0555 8.0440 0.0000
0.0000 0.0000 34.9071
ATOMIC_POSITIONS crystal
Ni 0.0157 0.9843 0.6464
Ni 0.0157 0.9843 0.8536
Ni 0.4366 0.5634 0.6204
Ni 0.4366 0.5634 0.8796
Ni 0.5634 0.4366 0.1204
Ni 0.5634 0.4366 0.3796
Ni 0.9843 0.0157 0.1464
Ni 0.9843 0.0157 0.3536
Bi 0.0343 0.9657 0.0697
Bi 0.0343 0.9657 0.4303
Bi 0.1443 0.8557 0.6976
Bi 0.1443 0.8557 0.8024
Bi 0.1608 0.8392 0.1467
Bi 0.1608 0.8392 0.3533
Bi 0.3047 0.6953 0.5729
Bi 0.3047 0.6953 0.9271
Bi 0.3881 0.6119 0.1190
Bi 0.3881 0.6119 0.3810
Bi 0.4860 0.5140 0.6971
Bi 0.4860 0.5140 0.8029
Bi 0.5140 0.4860 0.1971
Bi 0.5140 0.4860 0.3029
Bi 0.6119 0.3881 0.6190
Bi 0.6119 0.3881 0.8810
Bi 0.6953 0.3047 0.0729
Bi 0.6953 0.3047 0.4271
Bi 0.8392 0.1608 0.6467
Bi 0.8392 0.1608 0.8533
Bi 0.8557 0.1443 0.1976
Bi 0.8557 0.1443 0.3024
Bi 0.9657 0.0343 0.5697
Bi 0.9657 0.0343 0.9303
I 0.1803 0.8197 0.2500
I 0.3686 0.6314 0.0229
I 0.3686 0.6314 0.4771
I 0.6314 0.3686 0.5229
I 0.6314 0.3686 0.9771
I 0.8197 0.1803 0.7500

# 12
! PmBiI2O2 (GGA-PBE, relaxed); values from VASP
! Calculated total energy (eV/atom): -5.4485
! Space-group type: P4mm (99)
&SYSTEM
  ibrav = 0, nat = 6, ntyp = 4
/
ATOMIC_SPECIES
Pm 145.00 Pm.upf
Bi 208.98 Bi.upf
I 126.90 I.upf
O 16.00 O.upf
CELL_PARAMETERS angstrom
4.0359 0.0000 0.0000
0.0000 4.0359 0.0000
0.0000 0.0000 9.2695
ATOMIC_POSITIONS crystal
Pm 0.0000 0.0000 0.0000
Bi 0.5000 0.5000 0.2581
I 0.0000 0.0000 0.4587
I 0.5000 0.5000 0.7985
O 0.0000 0.5000 0.1262
O 0.5000 0.0000 0.1262

# 13
! PrBiI2O2 (GGA-PBE, relaxed); values from VASP
! Calculated total energy (eV/atom): -5.4324
! Space-group type: P4mm (99)
&SYSTEM
  ibrav = 0, nat = 6, ntyp = 4
/
ATOMIC_SPECIES
Pr 140.91 Pr.upf
Bi 208.98 Bi.upf
I 126.90 I.upf
O 16.00 O.upf
CELL_PARAMETERS angstrom
4.0664 0.0000 0.0000
0.0000 4.0664 0.0000
0.0000 0.0000 9.2864
ATOMIC_POSITIONS crystal
Pr 0.0000 0.0000 0.0000
Bi 0.5000 0.5000 0.7395
I 0.0000 0.0000 0.5395
I 0.5000 0.5000 0.2000
O 0.0000 0.5000 0.8693
O 0.5000 0.0000 0.8693

# 14
! SmBiI2O2 (GGA-PBE, relaxed); values from VASP
! Calculated total energy (eV/atom): -5.4453
! Space-group type: P4mm (99)
&SYSTEM
  ibrav = 0, nat = 6, ntyp = 4
/
ATOMIC_SPECIES
Sm 150.36 Sm.upf
Bi 208.98 Bi.upf
I 126.90 I.upf
O 16.00 O.upf
CELL_PARAMETERS angstrom
4.0252 0.0000 0.0000
0.0000 4.0252 0.0000
0.0000 0.0000 9.2687
ATOMIC_POSITIONS crystal
Sm 0.0000 0.0000 0.0000
Bi 0.5000 0.5000 0.7426
I 0.0000 0.0000 0.5417
I 0.5000 0.5000 0.2017
O 0.0000 0.5000 0.8752
O 0.5000 0.0000 0.8752

# 15
! TmBiI2O2 (GGA-PBE, relaxed); values from VASP
! Calculated total energy (eV/atom): -5.4191
! Space-group type: P4mm (99)
&SYSTEM
  ibrav = 0, nat = 6, ntyp = 4
/
ATOMIC_SPECIES
Tm 168.93 Tm.upf
Bi 208.98 Bi.upf
I 126.90 I.upf
O 16.00 O.upf
CELL_PARAMETERS angstrom
3.9425 0.0000 0.0000
0.0000 3.9425 0.0000
0.0000 0.0000 9.2564
ATOMIC_POSITIONS crystal
Tm 0.0000 0.0000 0.0000
Bi 0.5000 0.5000 0.2490
I 0.0000 0.0000 0.4537
I 0.5000 0.5000 0.7989
O 0.0000 0.5000 0.1125
O 0.5000 0.0000 0.1125

# 16
! Tm2BiIO4 (GGA-PBE, relaxed); values from VASP
! Calculated total energy (eV/atom): -6.6690
! Space-group type: P4/mmm (123)
&SYSTEM
  ibrav = 0, nat = 8, ntyp = 4
/
ATOMIC_SPECIES
Tm 168.93 Tm.upf
Bi 208.98 Bi.upf
I 126.90 I.upf
O 16.00 O.upf
CELL_PARAMETERS angstrom
3.9601 0.0000 0.0000
0.0000 3.9601 0.0000
0.0000 0.0000 9.2149
ATOMIC_POSITIONS crystal
Tm 0.0000 0.0000 0.2484
Tm 0.0000 0.0000 0.7516
Bi 0.5000 0.5000 0.5000
I 0.5000 0.5000 0.0000
O 0.0000 0.5000 0.3394
O 0.0000 0.5000 0.6606
O 0.5000 0.0000 0.3394
O 0.5000 0.0000 0.6606

# 17
! Zn2BiIO6 (GGA-PBE, relaxed); values from VASP
! Calculated total energy (eV/atom): -4.0267
! Space-group type: Fm-3m (225)
&SYSTEM
  ibrav = 0, nat = 10, ntyp = 4
/
ATOMIC_SPECIES
Zn 65.41 Zn.upf
Bi 208.98 Bi.upf
I 126.90 I.upf
O 16.00 O.upf
CELL_PARAMETERS angstrom
0.0000 4.1390 4.1390
4.1390 0.0000 4.1390
4.1390 4.1390 0.0000
ATOMIC_POSITIONS crystal
Zn 0.2500 0.2500 0.2500
Zn 0.7500 0.7500 0.7500
Bi 0.0000 0.0000 0.0000
I 0.5000 0.5000 0.5000
O 0.2701 0.2701 0.7299
O 0.2701 0.7299 0.2701
O 0.2701 0.7299 0.7299
O 0.7299 0.2701 0.2701
O 0.7299 0.2701 0.7299
O 0.7299 0.7299 0.2701

# 18
! Pm2BiI2 (GGA-PBE, relaxed); values from VASP
! Calculated total energy (eV/atom): -4.5306
! Space-group type: R-3m (166)
&SYSTEM
  ibrav = 0, nat = 15, ntyp = 3
/
ATOMIC_SPECIES
Pm 145.00 Pm.upf
Bi 208.98 Bi.upf
I 126.90 I.upf
CELL_PARAMETERS angstrom
4.4874 0.0000 0.0000
-2.2437 3.8862 0.0000
0.0000 0.0000 34.2870
ATOMIC_POSITIONS crystal
Pm 0.0000 0.0000 0.1144
Pm 0.0000 0.0000 0.8856
Pm 0.3333 0.6667 0.5523
Pm 0.3333 0.6667 0.7810
Pm 0.6667 0.3333 0.2190
Pm 0.6667 0.3333 0.4477
Bi 0.0000 0.0000 0.5000
Bi 0.3333 0.6667 0.1667
Bi 0.6667 0.3333 0.8333
I 0.0000 0.0000 0.2760
I 0.0000 0.0000 0.7240
I 0.3333 0.6667 0.3907
I 0.3333 0.6667 0.9426
I 0.6667 0.3333 0.0574
I 0.6667 0.3333 0.6093

# 19
! Bi4PtI (GGA-PBE, relaxed); values from VASP
! Calculated total energy (eV/atom): -3.7559
! Space-group type: Cmmm (65)
&SYSTEM
  ibrav = 0, nat = 12, ntyp = 3
/
ATOMIC_SPECIES
Bi 208.98 Bi.upf
Pt 195.08 Pt.upf
I 126.90 I.upf
CELL_PARAMETERS angstrom
10.2083 0.0000 0.0000
0.0000 10.2433 0.0000
0.0000 0.0000 4.4237
ATOMIC_POSITIONS crystal
Bi 0.0000 0.1615 0.0000
Bi 0.0000 0.8385 0.0000
Bi 0.2420 0.5000 0.5000
Bi 0.2580 0.0000 0.5000
Bi 0.5000 0.3385 0.0000
Bi 0.5000 0.6615 0.0000
Bi 0.7420 0.0000 0.5000
Bi 0.7580 0.5000 0.5000
Pt 0.0000 0.0000 0.5000
Pt 0.5000 0.5000 0.5000
I 0.0000 0.5000 0.0000
I 0.5000 0.0000 0.0000

# 20
! TbBiI6 (GGA-PBE, relaxed); values from VASP
! Calculated total energy (eV/atom): -3.1805
! Space-group type: C2 (5)
&SYSTEM
  ibrav = 0, nat = 16, ntyp = 3
/
ATOMIC_SPECIES
Tb 158.93 Tb.upf
Bi 208.98 Bi.upf
I 126.90 I.upf
CELL_PARAMETERS angstrom
7.7561 0.0000 0.0000
0.0000 13.4611 0.0000
-2.5244 0.0000 7.3245
ATOMIC_POSITIONS crystal
Tb 0.0000 0.0000 0.0000
Tb 0.5000 0.5000 0.0000
Bi 0.0000 0.3321 0.0000
Bi 0.5000 0.8321 0.0000
I 0.2262 0.1629 0.2470
I 0.2425 0.9922 0.7579
I 0.2489 0.8426 0.2419
I 0.2511 0.3426 0.7581
I 0.2575 0.4922 0.2421
I 0.2738 0.6629 0.7530
I 0.7262 0.6629 0.2470
I 0.7425 0.4922 0.7579
I 0.7489 0.3426 0.2419
I 0.7511 0.8426 0.7581
I 0.7575 0.9922 0.2421
I 0.7738 0.1629 0.7530

# 21
! In2BiIr (GGA-PBE, relaxed); values from VASP
! Calculated total energy (eV/atom): -4.2592
! Space-group type: F-43m (216)
&SYSTEM
  ibrav = 0, nat = 16, ntyp = 3
/
ATOMIC_SPECIES
In 114.82 In.upf
Bi 208.98 Bi.upf
Ir 192.22 Ir.upf
CELL_PARAMETERS angstrom
7.1046 0.0000 0.0000
0.0000 7.1046 0.0000
0.0000 0.0000 7.1046
ATOMIC_POSITIONS crystal
In 0.0000 0.0000 0.0000
In 0.0000 0.5000 0.5000
In 0.2500 0.2500 0.2500
In 0.2500 0.7500 0.7500
In 0.5000 0.0000 0.5000
In 0.5000 0.5000 0.0000
In 0.7500 0.2500 0.7500
In 0.7500 0.7500 0.2500
Bi 0.0000 0.0000 0.5000
Bi 0.0000 0.5000 0.0000
Bi 0.5000 0.0000 0.0000
Bi 0.5000 0.5000 0.5000
Ir 0.2500 0.2500 0.7500
Ir 0.2500 0.7500 0.2500
Ir 0.7500 0.2500 0.2500
Ir 0.7500 0.7500 0.7500

# 22
! InBiIr (GGA-PBE, relaxed); values from VASP
! Calculated total energy (eV/atom): -5.2643
! Space-group type: F-43m (216)
&SYSTEM
  ibrav = 0, nat = 12, ntyp = 3
/
ATOMIC_SPECIES
In 114.82 In.upf
Bi 208.98 Bi.upf
Ir 192.22 Ir.upf
CELL_PARAMETERS angstrom
6.5777 0.0000 0.0000
0.0000 6.5777 0.0000
0.0000 0.0000 6.5777
ATOMIC_POSITIONS crystal
In 0.0000 0.0000 0.0000
In 0.0000 0.5000 0.5000
In 0.5000 0.0000 0.5000
In 0.5000 0.5000 0.0000
Bi 0.0000 0.0000 0.5000
Bi 0.0000 0.5000 0.0000
Bi 0.5000 0.0000 0.0000
Bi 0.5000 0.5000 0.5000
Ir 0.2500 0.2500 0.7500
Ir 0.2500 0.7500 0.2500
Ir 0.7500 0.2500 0.2500
Ir 0.7500 0.7500 0.7500

# 23
! LiInBiIr (GGA-PBE, relaxed); values from VASP
! Calculated total energy (eV/atom): -4.5055
! Space-group type: F-43m (216)
! Energy above the most stable polymorph in this dataset (eV per atom): 0.000
&SYSTEM
  ibrav = 0, nat = 16, ntyp = 4
/
ATOMIC_SPECIES
Li 6.94 Li.upf
In 114.82 In.upf
Bi 208.98 Bi.upf
Ir 192.22 Ir.upf
CELL_PARAMETERS angstrom
6.7421 0.0000 0.0000
0.0000 6.7421 0.0000
0.0000 0.0000 6.7421
ATOMIC_POSITIONS crystal
Li 0.0000 0.0000 0.0000
Li 0.0000 0.5000 0.5000
Li 0.5000 0.0000 0.5000
Li 0.5000 0.5000 0.0000
In 0.2500 0.2500 0.7500
In 0.2500 0.7500 0.2500
In 0.7500 0.2500 0.2500
In 0.7500 0.7500 0.7500
Bi 0.2500 0.2500 0.2500
Bi 0.2500 0.7500 0.7500
Bi 0.7500 0.2500 0.7500
Bi 0.7500 0.7500 0.2500
Ir 0.0000 0.0000 0.5000
Ir 0.0000 0.5000 0.0000
Ir 0.5000 0.0000 0.0000
Ir 0.5000 0.5000 0.5000

# 24
! Li4InBiPd2 (GGA-PBE, relaxed); values from VASP
! Calculated total energy (eV/atom): -3.6022
! Space-group type: P-4m2 (115)
&SYSTEM
  ibrav = 0, nat = 8, ntyp = 4
/
ATOMIC_SPECIES
Li 6.94 Li.upf
In 114.82 In.upf
Bi 208.98 Bi.upf
Pd 106.42 Pd.upf
CELL_PARAMETERS angstrom
4.5465 0.0000 0.0000
0.0000 4.5465 0.0000
0.0000 0.0000 6.4342
ATOMIC_POSITIONS crystal
Li 0.0000 0.0000 0.0000
Li 0.0000 0.5000 0.2408
Li 0.5000 0.0000 0.7592
Li 0.5000 0.5000 0.5000
In 0.5000 0.5000 0.0000
Bi 0.0000 0.0000 0.5000
Pd 0.0000 0.5000 0.7584
Pd 0.5000 0.0000 0.2416